Zn2SiPt | PBE | optimized geometry

Geometry as POSCAR:
```
Zn2SiPt
1.0
-2.660 -0.824 -2.013
2.142 -1.542 -2.199
-0.551 -4.332 2.501
Si Zn Pt
1 2 1
direct
0.500 0.500 0.750
0.000 0.000 0.999
0.000 0.000 0.501
0.500 0.500 0.250
```

**Uncorrected formation energy**: -80 kJ/mol of formula units
**M_tot**: 0.0 μB per formula unit
**Density of states at the Fermi level**: 1.7 states/eV/cell
**VASP energy**: -14.84 eV/f.u.

***

ZnSi2Pt | PBE | optimized geometry

Geometry as POSCAR:
```
ZnSi2Pt
1.0
-1.408 2.397 0.413
-1.384 -0.188 -3.629
-4.248 -2.799 1.764
Zn Si Pt
1 2 1
direct
0.000 0.000 0.485
0.500 0.500 0.258
0.000 0.000 0.988
0.500 0.500 0.769
```

**Uncorrected formation energy**: 2 kJ/mol of formula units
**M_tot**: 0.0 μB per formula unit
**Density of states at the Fermi level**: 1.4 states/eV/cell
**VASP energy**: -18.14 eV/f.u.

***

ZnSi5Pt3 | PBE | optimized geometry

Geometry as POSCAR:
```
ZnSi5Pt3
1.0
5.799 0.000 0.000
-2.899 6.234 -2.016
0.000 -0.004 8.149
Zn Si Pt
2 10 6
direct
0.272 0.000 0.250
0.728 0.000 0.750
0.589 0.670 0.423
0.090 0.675 0.413
0.910 0.325 0.587
0.919 0.330 0.077
0.411 0.330 0.577
0.585 0.675 0.913
0.251 0.000 0.750
0.081 0.670 0.923
0.415 0.325 0.087
0.749 0.000 0.250
0.688 0.348 0.337
0.312 0.652 0.663
0.000 0.000 0.000
0.660 0.348 0.837
0.340 0.652 0.163
0.000 0.000 0.500
```

**Uncorrected formation energy**: -429 kJ/mol of formula units
**M_tot**: 0.0 μB per formula unit
**Density of states at the Fermi level**: 3.6 states/eV/cell
**VASP energy**: -50.96 eV/f.u.

***

ZnSi2Pt | PBE | optimized geometry

Geometry as POSCAR:
```
ZnSi2Pt
1.0
3.957 0.000 0.000
0.000 3.957 0.000
1.979 1.979 8.121
Si Pt Zn
4 2 2
direct
0.622 0.125 0.250
0.128 0.625 0.250
0.875 0.872 0.750
0.375 0.378 0.750
0.000 0.000 0.000
0.750 0.250 0.500
0.500 0.500 0.000
0.250 0.750 0.500
```

**Uncorrected formation energy**: -41 kJ/mol of formula units
**M_tot**: 0.0 μB per formula unit
**Density of states at the Fermi level**: 3.0 states/eV/cell
**VASP energy**: -18.59 eV/f.u.

***

Zn2SiPt | PBE | optimized geometry

Geometry as POSCAR:
```
Zn2SiPt
1.0
-1.846 -0.059 2.165
0.441 -2.798 0.279
5.625 1.369 4.835
Si Pt Zn
1 1 2
direct
0.500 0.500 0.729
0.000 0.000 0.516
0.000 0.000 0.000
0.500 0.500 0.256
```

**Uncorrected formation energy**: -47 kJ/mol of formula units
**M_tot**: 0.0 μB per formula unit
**Density of states at the Fermi level**: 1.6 states/eV/cell
**VASP energy**: -14.50 eV/f.u.

***

ZnSi2Pt | PBE | optimized geometry

Geometry as POSCAR:
```
ZnSi2Pt
1.0
-0.602 3.815 1.722
-1.452 -1.693 3.244
3.421 -0.621 2.573
Zn Si Pt
1 2 1
direct
0.500 0.250 0.250
0.000 0.911 0.444
0.000 0.589 0.056
0.500 0.750 0.750
```

**Uncorrected formation energy**: -80 kJ/mol of formula units
**M_tot**: 0.0 μB per formula unit
**Density of states at the Fermi level**: 0.4 states/eV/cell
**VASP energy**: -18.99 eV/f.u.

***

Zn2SiPt | PBE | optimized geometry

Geometry as POSCAR:
```
Zn2SiPt
1.0
-1.402 -0.013 2.424
-2.009 -1.561 -1.170
3.772 -6.466 2.149
Zn Si Pt
2 1 1
direct
0.000 0.000 0.485
0.000 0.000 0.015
0.500 0.500 0.750
0.500 0.500 0.250
```

**Uncorrected formation energy**: -28 kJ/mol of formula units
**M_tot**: 0.0 μB per formula unit
**Density of states at the Fermi level**: 1.7 states/eV/cell
**VASP energy**: -14.31 eV/f.u.

***

ZnSi2Pt | PBE | optimized geometry

Geometry as POSCAR:
```
ZnSi2Pt
1.0
-2.292 1.506 0.722
-1.565 -2.013 -1.242
-0.385 -3.672 6.440
Si Pt Zn
2 1 1
direct
0.500 0.500 0.240
0.000 0.000 0.988
0.500 0.500 0.768
0.000 0.000 0.504
```

**Uncorrected formation energy**: -9 kJ/mol of formula units
**M_tot**: 0.0 μB per formula unit
**Density of states at the Fermi level**: 1.7 states/eV/cell
**VASP energy**: -18.25 eV/f.u.

***

Zn2SiPt | PBE | optimized geometry

Geometry as POSCAR:
```
Zn2SiPt
1.0
4.120 0.000 0.000
0.000 5.279 -0.143
0.000 -0.310 5.716
Zn Pt Si
4 2 2
direct
0.250 0.011 0.672
0.750 0.229 0.908
0.250 0.771 0.092
0.750 0.989 0.328
0.750 0.714 0.738
0.250 0.286 0.262
0.750 0.528 0.326
0.250 0.472 0.674
```

**Uncorrected formation energy**: -111 kJ/mol of formula units
**M_tot**: 0.0 μB per formula unit
**Density of states at the Fermi level**: 2.3 states/eV/cell
**VASP energy**: -15.16 eV/f.u.

***

ZnSi4Pt | PBE | optimized geometry

Geometry as POSCAR:
```
ZnSi4Pt
1.0
0.000 3.590 3.590
3.590 0.000 3.590
3.590 3.590 0.000
Si Pt Zn
4 1 1
direct
0.375 0.874 0.375
0.375 0.375 0.375
0.874 0.375 0.375
0.375 0.375 0.874
0.000 0.000 0.000
0.750 0.750 0.750
```

**Uncorrected formation energy**: 261 kJ/mol of formula units
**M_tot**: 0.0 μB per formula unit
**Density of states at the Fermi level**: 3.8 states/eV/cell
**VASP energy**: -26.30 eV/f.u.

***

ZnSi2Pt | PBE | optimized geometry

Geometry as POSCAR:
```
ZnSi2Pt
1.0
4.598 -0.036 0.014
3.463 3.025 0.014
0.254 0.094 4.303
Si Zn Pt
2 1 1
direct
0.244 0.244 0.277
0.018 0.018 0.974
0.493 0.493 0.483
0.746 0.746 0.766
```

**Uncorrected formation energy**: -22 kJ/mol of formula units
**M_tot**: 0.0 μB per formula unit
**Density of states at the Fermi level**: 1.2 states/eV/cell
**VASP energy**: -18.39 eV/f.u.

***

Zn2SiPt5 | PBE | optimized geometry

Geometry as POSCAR:
```
Zn2SiPt5
1.0
4.049 0.000 0.000
0.000 5.508 0.000
0.000 0.000 10.579
Zn Pt Si
4 10 2
direct
0.500 0.346 0.354
0.500 0.154 0.854
0.500 0.654 0.646
0.500 0.846 0.146
0.000 0.000 0.000
0.500 0.817 0.401
0.500 0.317 0.099
0.000 0.918 0.729
0.000 0.418 0.771
0.500 0.183 0.599
0.000 0.582 0.229
0.000 0.082 0.271
0.500 0.683 0.901
0.000 0.500 0.500
0.000 0.000 0.500
0.000 0.500 0.000
```

**Uncorrected formation energy**: -441 kJ/mol of formula units
**M_tot**: 0.0 μB per formula unit
**Density of states at the Fermi level**: 1.8 states/eV/cell
**VASP energy**: -42.74 eV/f.u.